Record 1
Crystalline HfTlCl5 at its relaxed geometry. Source: the Alexandria database, functional PBE-GGA.

abc: 7.333 7.333 9.946
angles: 71.50 71.50 71.60
Positions (direct):
Hf 0.000 0.000 0.000
Hf 0.000 0.000 0.500
Tl 0.528 0.472 0.750
Tl 0.472 0.528 0.250
Cl 0.302 0.110 0.884
Cl 0.339 0.814 0.506
Cl 0.110 0.302 0.384
Cl 0.929 0.071 0.750
Cl 0.186 0.661 0.994
Cl 0.814 0.339 0.006
Cl 0.071 0.929 0.250
Cl 0.890 0.698 0.616
Cl 0.661 0.186 0.494
Cl 0.698 0.890 0.116

* space group: No. 15
* raw formation energy: -11.2 eV/f.u.
* density of states at the Fermi level: 0.00 states/eV per atom

Record 2
Crystalline Hf3TlCl at its relaxed geometry. Source: the Alexandria database, functional PBE-GGA.

abc: 5.372 5.372 5.372
angles: 90.00 90.00 90.00
Positions (direct):
Tl 0.000 0.000 0.000
Hf 0.000 0.500 0.000
Hf 0.000 0.000 0.500
Hf 0.500 0.000 0.000
Cl 0.500 0.500 0.500

* space group: No. 221
* raw formation energy: 7.4 eV/f.u.
* density of states at the Fermi level: 1.87 states/eV per atom
* E above lowest polymorph: 6.14 eV per formula unit